This record from Alexandria via LeMat-Bulk describes a relaxed ScNbS2Cl crystal. The functional is PBE.

Cell: 4.8225 4.8225 4.8148 Å, 90.00 90.00 90.00°
Space group P4/mmm (No. 123)
Unique sites:
1 Sc 0.0000 0.0000 0.0000 [1 per cell]
2 Nb 0.5000 0.5000 0.5000 [1 per cell]
3 S 0.0000 0.5000 0.5000 [2 per cell]
4 Cl 0.5000 0.5000 0.0000 [1 per cell]

- uncorrected formation energy (eV/atom) = -0.546
- raw total energy (eV per formula unit) = -29.2
- volume (Å³/atom) = 22.40
- polymorph energy (0 for the lowest one) (meV/atom) = 0.0

This record from Alexandria via LeMat-Bulk describes a relaxed AsCl crystal. The functional is PBE.

Cell: 5.5242 2.9674 7.2630 Å, 90.00 90.00 90.00°
Space group Pmma (No. 51)
Unique sites:
1 As 0.2500 0.0000 0.0019 [2 per cell]
2 Cl 0.2500 0.5000 0.7226 [2 per cell]

- uncorrected formation energy (eV/atom) = 0.073
- raw total energy (eV per formula unit) = -6.3
- volume (Å³/atom) = 29.76

This record from Alexandria via LeMat-Bulk describes a relaxed KTa2Os crystal. The functional is PBE.

Cell: 6.6362 6.6362 6.6362 Å, 90.00 90.00 90.00°
Space group Fm-3m (No. 225)
Unique sites:
1 K 0.0000 0.0000 0.0000 [4 per cell]
2 Ta 0.2500 0.2500 0.2500 [8 per cell]
3 Os 0.0000 0.0000 0.5000 [4 per cell]

- raw total energy (eV per formula unit) = -31.6
- volume (Å³/atom) = 18.27
- energy relative to the elements (kJ/mol of atoms) = 107
- polymorph energy (0 for the lowest one) (meV/atom) = 529.7

This record from Alexandria via LeMat-Bulk describes a relaxed Ca2SnGeSe4 crystal. The functional is PBE.

Cell: 7.2755 4.1960 7.3160 Å, 90.00 109.32 90.00°
Space group P2/m (No. 10)
Unique sites:
1 Ca 0.0000 0.0000 0.0000 [1 per cell]
2 Ca 0.5000 0.5000 0.0000 [1 per cell]
3 Sn 0.0000 0.5000 0.5000 [1 per cell]
4 Ge 0.5000 0.0000 0.5000 [1 per cell]
5 Se 0.2588 0.0000 0.7523 [2 per cell]
6 Se 0.2594 0.5000 0.2543 [2 per cell]

- uncorrected formation energy (eV/atom) = -1.118
- raw total energy (eV per formula unit) = -35.5
- volume (Å³/atom) = 26.35

This record from Alexandria via LeMat-Bulk describes a relaxed NbAl2F crystal. The functional is PBE.

Cell: 6.1907 6.1907 6.7839 Å, 90.00 90.00 90.00°
Space group I-42d (No. 122)
Unique sites:
1 Nb 0.0000 0.0000 0.0000 [4 per cell]
2 Al 0.1708 0.2500 0.6250 [8 per cell]
3 F 0.0000 0.0000 0.5000 [4 per cell]

- uncorrected formation energy (eV/atom) = -0.428
- raw total energy (eV per formula unit) = -21.1
- volume (Å³/atom) = 16.25
- polymorph energy (0 for the lowest one) (meV/atom) = 0.0

This record from Alexandria via LeMat-Bulk describes a relaxed Ti2NbRh8 crystal. The functional is PBE.

Cell: 13.8959 3.9121 6.2161 Å, 90.00 106.55 90.00°
Space group C2/m (No. 12)
Unique sites:
1 Ti 0.2252 0.0000 0.1619 [4 per cell]
2 Nb 0.0000 0.5000 0.5000 [2 per cell]
3 Rh 0.0430 0.0000 0.2203 [4 per cell]
4 Rh 0.0982 0.5000 0.9578 [4 per cell]
5 Rh 0.1402 0.0000 0.6875 [4 per cell]
6 Rh 0.1795 0.5000 0.4099 [4 per cell]

- raw total energy (eV per formula unit) = -90.3
- volume (Å³/atom) = 14.72
- energy relative to the elements (kJ/mol of atoms) = -49

This record from Alexandria via LeMat-Bulk describes a relaxed Ho2TmGeC crystal. The functional is PBE.

Cell: 4.7900 4.7900 4.7354 Å, 90.00 90.00 90.00°
Space group P4/mmm (No. 123)
Unique sites:
1 Ho 0.0000 0.5000 0.0000 [2 per cell]
2 Tm 0.0000 0.0000 0.5000 [1 per cell]
3 Ge 0.5000 0.5000 0.5000 [1 per cell]
4 C 0.0000 0.0000 0.0000 [1 per cell]

- raw total energy (eV per formula unit) = -30.2
- volume (Å³/atom) = 21.73
- energy relative to the elements (kJ/mol of atoms) = -54

This record from Alexandria via LeMat-Bulk describes a relaxed Tl3Te2S4 crystal. The functional is PBE.

Cell: 12.8603 11.8089 8.0779 Å, 90.00 92.82 90.00°
Space group C2/c (No. 15)
Unique sites:
1 Tl 0.0000 0.0985 0.2500 [4 per cell]
2 Tl 0.1074 0.3511 0.9777 [8 per cell]
3 Te 0.2148 0.1216 0.5619 [8 per cell]
4 S 0.1082 0.4062 0.3432 [8 per cell]
5 S 0.1548 0.0616 0.9702 [8 per cell]

- uncorrected formation energy (eV/atom) = -0.108
- raw total energy (eV per formula unit) = -30.9
- volume (Å³/atom) = 34.04
- polymorph energy (0 for the lowest one) (meV/atom) = 50.3

This record from Alexandria via LeMat-Bulk describes a relaxed TbPa3C4N12 crystal. The functional is PBE.

Cell: 10.0809 10.0809 8.7001 Å, 90.00 90.00 120.00°
Space group R32 (No. 155, hexagonal axes)
Unique sites:
1 Tb 0.0000 0.0000 0.0000 [3 per cell]
2 Pa 0.0000 0.5303 0.0000 [9 per cell]
3 C 0.0000 0.0000 0.5000 [3 per cell]
4 C 0.0000 0.4651 0.5000 [9 per cell]
5 N 0.0000 0.1974 0.1704 [18 per cell]
6 N 0.0000 0.6010 0.5000 [9 per cell]
7 N 0.0000 0.8656 0.5000 [9 per cell]

- uncorrected formation energy (eV/atom) = -0.632
- raw total energy (eV per formula unit) = -182.6
- volume (Å³/atom) = 12.76

This record from Alexandria via LeMat-Bulk describes a relaxed NdEr12Tm5 crystal. The functional is PBE.

Cell: 11.3984 10.3341 10.8949 Å, 90.00 118.74 90.00°
Space group C2/m (No. 12)
Unique sites:
1 Nd 0.0000 0.0000 0.0000 [2 per cell]
2 Er 0.1611 0.3333 0.3473 [8 per cell]
3 Er 0.1633 0.0000 0.3510 [4 per cell]
4 Er 0.1907 0.3332 0.8288 [8 per cell]
5 Er 0.1928 0.0000 0.8267 [4 per cell]
6 Tm 0.0000 0.1670 0.5000 [4 per cell]
7 Tm 0.0000 0.3354 0.0000 [4 per cell]
8 Tm 0.0000 0.5000 0.5000 [2 per cell]

- raw total energy (eV per formula unit) = -79.5
- volume (Å³/atom) = 31.26
- energy relative to the elements (kJ/mol of atoms) = 13

This record from Alexandria via LeMat-Bulk describes a relaxed BaNd2Tl9 crystal. The functional is PBE.

Cell: 4.9356 4.9356 14.7791 Å, 90.00 90.00 90.00°
Space group P4/mmm (No. 123)
Unique sites:
1 Ba 0.0000 0.0000 0.0000 [1 per cell]
2 Nd 0.0000 0.0000 0.3439 [2 per cell]
3 Tl 0.0000 0.5000 0.1784 [4 per cell]
4 Tl 0.0000 0.5000 0.5000 [2 per cell]
5 Tl 0.5000 0.5000 0.0000 [1 per cell]
6 Tl 0.5000 0.5000 0.3349 [2 per cell]

- raw total energy (eV per formula unit) = -36.2
- volume (Å³/atom) = 30.00
- energy relative to the elements (kJ/mol of atoms) = -28

This record from Alexandria via LeMat-Bulk describes a relaxed Ca2Ac3Mg2Tl4 crystal. The functional is PBE.

Cell: 5.3074 5.3074 15.3115 Å, 90.00 90.00 120.00°
Space group P-3m1 (No. 164)
Unique sites:
1 Ca 0.3333 0.6667 0.0697 [2 per cell]
2 Ac 0.0000 0.0000 0.2373 [2 per cell]
3 Ac 0.0000 0.0000 0.5000 [1 per cell]
4 Mg 0.3333 0.6667 0.6355 [2 per cell]
5 Tl 0.3333 0.6667 0.3841 [2 per cell]
6 Tl 0.3333 0.6667 0.8537 [2 per cell]

- raw total energy (eV per formula unit) = -31.8
- volume (Å³/atom) = 33.96
- energy relative to the elements (kJ/mol of atoms) = -24

Repeat the second record exactly.
This record from Alexandria via LeMat-Bulk describes a relaxed AsCl crystal. The functional is PBE.

Cell: 5.5242 2.9674 7.2630 Å, 90.00 90.00 90.00°
Space group Pmma (No. 51)
Unique sites:
1 As 0.2500 0.0000 0.0019 [2 per cell]
2 Cl 0.2500 0.5000 0.7226 [2 per cell]

- uncorrected formation energy (eV/atom) = 0.073
- raw total energy (eV per formula unit) = -6.3
- volume (Å³/atom) = 29.76

Which formula does entry 8 have?
Tl3Te2S4

raw total energy of number 11 (BaNd2Tl9)?
-36.2 eV per formula unit

What did the ninth record say?
This record from Alexandria via LeMat-Bulk describes a relaxed TbPa3C4N12 crystal. The functional is PBE.

Cell: 10.0809 10.0809 8.7001 Å, 90.00 90.00 120.00°
Space group R32 (No. 155, hexagonal axes)
Unique sites:
1 Tb 0.0000 0.0000 0.0000 [3 per cell]
2 Pa 0.0000 0.5303 0.0000 [9 per cell]
3 C 0.0000 0.0000 0.5000 [3 per cell]
4 C 0.0000 0.4651 0.5000 [9 per cell]
5 N 0.0000 0.1974 0.1704 [18 per cell]
6 N 0.0000 0.6010 0.5000 [9 per cell]
7 N 0.0000 0.8656 0.5000 [9 per cell]

- uncorrected formation energy (eV/atom) = -0.632
- raw total energy (eV per formula unit) = -182.6
- volume (Å³/atom) = 12.76